1.
The following is a DFT calculation (PBE-GGA) of crystalline Zn2SbRu at its relaxed geometry.

Output
SG: P4/mmm
Magnetization in μB per formula unit: 0.0
Raw formation energy in eV/atom: 0.09
Uncorrected energy in eV/cell: -15.57

Cell and atoms, written as POSCAR:
```
Zn2SbRu
1.0
3.527 0.030 0.000
-0.028 3.527 0.000
0.000 0.000 5.352
Ru Sb Zn
1 1 2
Direct
0.500 0.500 0.250 Ru
0.500 0.500 0.750 Sb
0.000 0.000 0.023 Zn
0.000 0.000 0.477 Zn
```

2.
The following is a DFT calculation (PBE-GGA) of crystalline Zn4SbRu at its relaxed geometry.

Output
SG: F-43m
Magnetization in μB per formula unit: 0.0
Raw formation energy in eV/atom: 0.10
Uncorrected energy in eV/cell: -17.91

Cell and atoms, written as POSCAR:
```
Zn4SbRu
1.0
0.000 3.606 3.606
3.606 0.000 3.606
3.606 3.606 0.000
Zn Sb Ru
4 1 1
Direct
0.871 0.376 0.376 Zn
0.376 0.376 0.871 Zn
0.376 0.871 0.376 Zn
0.376 0.376 0.376 Zn
0.000 0.000 0.000 Sb
0.750 0.750 0.750 Ru
```

3.
The following is a DFT calculation (PBE-GGA) of crystalline Zn2SbRu at its relaxed geometry.

Output
SG: I-42d
Magnetization in μB per formula unit: 0.0
Raw formation energy in eV/atom: 0.38
Uncorrected energy in eV/cell: -28.84

Cell and atoms, written as POSCAR:
```
Zn2SbRu
1.0
7.816 0.000 0.000
0.000 7.816 0.000
3.908 3.908 2.546
Sb Zn Ru
2 4 2
Direct
0.000 0.000 0.000 Sb
0.750 0.250 0.500 Sb
0.572 0.125 0.250 Zn
0.178 0.625 0.250 Zn
0.375 0.428 0.750 Zn
0.875 0.822 0.750 Zn
0.500 0.500 0.000 Ru
0.250 0.750 0.500 Ru
```

4.
The following is a DFT calculation (PBE-GGA) of crystalline ZnSbRu at its relaxed geometry.

Output
SG: I4mm
Magnetization in μB per formula unit: 0.4
Raw formation energy in eV/atom: -0.01
Relative energy among the computed polymorphs in eV/atom: 0.003
Uncorrected energy in eV/cell: -14.69

Cell and atoms, written as POSCAR:
```
ZnSbRu
1.0
4.877 -0.005 0.000
2.452 4.215 0.000
-3.664 -2.105 2.434
Ru Sb Zn
1 1 1
Direct
0.998 0.998 0.000 Ru
0.341 0.341 0.000 Sb
0.661 0.661 0.000 Zn
```

5.
The following is a DFT calculation (PBE-GGA) of crystalline ZnSbRu4 at its relaxed geometry.

Output
SG: F-43m
Magnetization in μB per formula unit: 2.2
Raw formation energy in eV/atom: 0.51
Uncorrected energy in eV/cell: -39.41

Cell and atoms, written as POSCAR:
```
ZnSbRu4
1.0
0.000 3.671 3.671
3.671 0.000 3.671
3.671 3.671 0.000
Zn Sb Ru
1 1 4
Direct
0.000 0.000 0.000 Zn
0.750 0.750 0.750 Sb
0.875 0.375 0.375 Ru
0.375 0.375 0.875 Ru
0.375 0.875 0.375 Ru
0.375 0.375 0.375 Ru
```

6.
The following is a DFT calculation (PBE-GGA) of crystalline ZnSbRu2 at its relaxed geometry.

Output
SG: R-3m
Magnetization in μB per formula unit: 0.1
Raw formation energy in eV/atom: 0.22
Uncorrected energy in eV/cell: -23.08

Cell and atoms, written as POSCAR:
```
ZnSbRu2
1.0
-4.988 4.307 4.536
-5.150 1.521 5.931
-2.825 3.481 6.627
Ru Sb Zn
2 1 1
Direct
0.000 0.000 0.000 Ru
0.500 0.500 0.500 Ru
0.250 0.250 0.250 Sb
0.750 0.750 0.750 Zn
```

7.
The following is a DFT calculation (PBE-GGA) of crystalline ZnSbRu at its relaxed geometry.

Output
SG: P3m1
Magnetization in μB per formula unit: 0.0
Raw formation energy in eV/atom: 0.26
Relative energy among the computed polymorphs in eV/atom: 0.272
Uncorrected energy in eV/cell: -13.88

Cell and atoms, written as POSCAR:
```
ZnSbRu
1.0
-3.121 1.091 -2.952
1.638 -4.117 0.073
-2.279 -0.870 2.089
Ru Sb Zn
1 1 1
Direct
0.000 0.000 0.174 Ru
0.667 0.333 0.163 Sb
0.333 0.667 0.663 Zn
```

8.
The following is a DFT calculation (PBE-GGA) of crystalline Zn2SbRu at its relaxed geometry.

Output
SG: I-4m2
Magnetization in μB per formula unit: 0.0
Raw formation energy in eV/atom: 0.08
Uncorrected energy in eV/cell: -15.63

Cell and atoms, written as POSCAR:
```
Zn2SbRu
1.0
4.927 -0.008 -0.003
1.640 4.646 0.003
-3.282 -2.321 2.849
Ru Sb Zn
1 1 2
Direct
0.500 0.500 0.000 Ru
0.250 0.750 0.500 Sb
0.000 0.000 0.000 Zn
0.750 0.250 0.500 Zn
```

Q: Which value of raw formation energy does entry 3 give?
A: 0.38 eV/atom

Q: The lowest uncorrected energy belongs to which entry?
A: ZnSbRu4

Q: Which formula does entry 7 have?
A: ZnSbRu

What did the sixth record say?
The following is a DFT calculation (PBE-GGA) of crystalline ZnSbRu2 at its relaxed geometry.

Output
SG: R-3m
Magnetization in μB per formula unit: 0.1
Raw formation energy in eV/atom: 0.22
Uncorrected energy in eV/cell: -23.08

Cell and atoms, written as POSCAR:
```
ZnSbRu2
1.0
-4.988 4.307 4.536
-5.150 1.521 5.931
-2.825 3.481 6.627
Ru Sb Zn
2 1 1
Direct
0.000 0.000 0.000 Ru
0.500 0.500 0.500 Ru
0.250 0.250 0.250 Sb
0.750 0.750 0.750 Zn
```